The following is a DFT calculation (PBE-GGA) of an optimized crystal structure of Na2BiBr2.

```
Na2BiBr2
1.0
8.938 0.000 0.000
0.000 8.938 0.000
0.000 0.000 3.622
Na Bi Br
4 2 4
direct
0.360 0.860 0.000
0.860 0.640 0.000
0.640 0.140 0.000
0.140 0.360 0.000
0.000 0.000 0.000
0.500 0.500 0.000
0.150 0.650 0.500
0.650 0.850 0.500
0.850 0.350 0.500
0.350 0.150 0.500
```

Computed properties:
- distance to the lowest polymorph of the same formula (eV per formula unit) = 0.00
- D(E_F) (states/eV/cell) = 5.31
- formation energy (no corrections) (eV per atom) = -0.704
- magnetic moment (μB/cell) = 3.555